# 1
{
  "formula": "SrMgIr3",
  "functional": "PBE",
  "state": "optimized geometry",
  "volume_a3_per_cell": 123,
  "spacegroup": "No. 221",
  "formation_energy_ev_per_atom": 2.280,
  "crystal_system": "cubic",
  "lattice": [[-2.0419, -0.2769, 4.5233], [-3.3566, -3.2408, -1.7136], [3.0446, -3.7586, 1.1443]],
  "species": ["Ir", "Mg", "Ir", "Ir", "Sr"],
  "frac_coords": [[0.5000, 0.0000, 0.0000], [0.5000, 0.5000, 0.5000], [0.0000, 0.5000, 0.0000], [0.0000, 0.0000, 0.5000], [0.0000, 0.0000, 0.0000]]
}

=====

# 2
{
  "formula": "NbZn2Ge",
  "functional": "PBE",
  "state": "optimized geometry",
  "volume_a3_per_cell": 63,
  "spacegroup": "No. 123",
  "formation_energy_ev_per_atom": -0.104,
  "crystal_system": "tetragonal",
  "lattice": [[-1.4740, 2.0438, -3.3464], [2.6681, -1.7184, -2.2247], [-2.4581, -2.9142, -0.6971]],
  "species": ["Nb", "Zn", "Zn", "Ge"],
  "frac_coords": [[0.5000, 0.5000, 0.5000], [0.0000, 0.0000, 0.5000], [0.0000, 0.5000, 0.0000], [0.5000, 0.0000, 0.0000]]
}

=====

# 3
{
  "formula": "LiYMg2Co",
  "functional": "PBE",
  "state": "optimized geometry",
  "volume_a3_per_cell": 122,
  "spacegroup": "No. 123",
  "formation_energy_ev_per_atom": 0.081,
  "crystal_system": "tetragonal",
  "lattice": [[4.9946, 0.0000, 0.0000], [0.0000, 4.9946, 0.0000], [0.0000, 0.0000, 4.9089]],
  "species": ["Mg", "Li", "Co", "Mg", "Y"],
  "frac_coords": [[0.5000, 0.0000, 0.0000], [0.5000, 0.5000, 0.5000], [0.0000, 0.0000, 0.0000], [0.0000, 0.5000, 0.0000], [0.0000, 0.0000, 0.5000]]
}

=====

# 4
{
  "formula": "LaCo2As",
  "functional": "PBE",
  "state": "optimized geometry",
  "volume_a3_per_cell": 69,
  "spacegroup": "No. 119",
  "formation_energy_ev_per_atom": 0.089,
  "crystal_system": "tetragonal",
  "lattice": [[5.3870, -0.0018, 0.0000], [2.6152, 4.7097, 0.0000], [-4.0011, -2.3539, 2.7332]],
  "species": ["Co", "Co", "As", "La"],
  "frac_coords": [[0.2500, 0.7500, 0.5000], [0.0000, 0.0000, 0.0000], [0.7500, 0.2500, 0.5000], [0.5000, 0.5000, 0.0000]]
}

=====

# 5
{
  "formula": "Mg3Sc2Cd2",
  "functional": "PBE",
  "state": "optimized geometry",
  "volume_a3_per_cell": 157,
  "spacegroup": "No. 12",
  "formation_energy_ev_per_atom": -0.100,
  "crystal_system": "monoclinic",
  "lattice": [[4.7642, 0.0511, -1.4030], [-2.5866, 4.2373, -0.1541], [0.0431, -0.1883, 7.7483]],
  "species": ["Mg", "Cd", "Sc", "Sc", "Cd", "Mg", "Mg"],
  "frac_coords": [[0.0000, 0.0000, 0.0000], [0.1574, 0.5660, 0.7234], [0.4234, 0.7160, 0.1394], [0.5766, 0.2840, 0.8606], [0.8426, 0.4340, 0.2766], [0.2703, 0.1444, 0.4147], [0.7297, 0.8556, 0.5853]]
}

=====

# 6
{
  "formula": "KPd2Pt2",
  "functional": "PBE",
  "state": "optimized geometry",
  "volume_a3_per_cell": 184,
  "spacegroup": "No. 127",
  "formation_energy_ev_per_atom": -0.011,
  "crystal_system": "tetragonal",
  "lattice": [[-7.1359, -1.2790, -3.7796], [3.9350, -0.9722, -7.1002], [0.2224, -2.6952, 0.4923]],
  "species": ["Pt", "K", "Pd", "K", "Pd", "Pt", "Pt", "Pd", "Pt", "Pd"],
  "frac_coords": [[0.8818, 0.6182, 0.0000], [0.5000, 0.5000, 0.0000], [0.6813, 0.8187, 0.5000], [0.0000, 0.0000, 0.0000], [0.8187, 0.3187, 0.5000], [0.3818, 0.8818, 0.0000], [0.6182, 0.1182, 0.0000], [0.1813, 0.6813, 0.5000], [0.1182, 0.3818, 0.0000], [0.3187, 0.1813, 0.5000]]
}

=====

# 7
{
  "formula": "Pm2DyMgHg4",
  "functional": "PBE",
  "state": "optimized geometry",
  "volume_a3_per_cell": 206,
  "spacegroup": "No. 166",
  "formation_energy_ev_per_atom": -0.471,
  "crystal_system": "trigonal",
  "lattice": [[-3.8158, 1.9192, -3.0159], [-2.8173, -3.2133, -3.0128], [-7.8863, -1.5316, 4.4709]],
  "species": ["Dy", "Pm", "Hg", "Hg", "Hg", "Pm", "Hg", "Mg"],
  "frac_coords": [[0.0000, 0.0000, 0.0000], [0.7554, 0.7554, 0.7339], [0.1238, 0.1238, 0.6285], [0.3719, 0.3719, 0.8844], [0.8762, 0.8762, 0.3715], [0.2446, 0.2446, 0.2661], [0.6281, 0.6281, 0.1156], [0.5000, 0.5000, 0.5000]]
}

=====

# 8
{
  "formula": "Si2Au",
  "functional": "PBE",
  "state": "optimized geometry",
  "volume_a3_per_cell": 111,
  "formation_energy_uncorrected_ev_per_fu": 0.3,
  "spacegroup": "No. 58",
  "crystal_system": "orthorhombic",
  "lattice": [[-1.8169, 2.4556, 2.2280], [1.2408, -2.5060, 3.7737], [5.2234, 3.3841, 0.5298]],
  "species": ["Au", "Si", "Si", "Si", "Au", "Si"],
  "frac_coords": [[0.5000, 0.5000, 0.5000], [0.0000, 0.8147, 0.3728], [0.0000, 0.1853, 0.6272], [0.5000, 0.3147, 0.1272], [0.0000, 0.0000, 0.0000], [0.5000, 0.6853, 0.8728]]
}